## i
## BaEu2P (PBE)

Data for crystalline BaEu2P at its relaxed geometry.

Values from the calculation:
Magnetization   14.55 μB/f.u.
Space group   P4/mmm

Structure (POSCAR):
```
BaEu2P
1.0
-0.403 1.282 3.560
2.236 -2.808 1.264
8.088 5.897 -1.210
Eu P Ba
2 1 1
direct
0.000 0.000 0.848 Eu
0.000 0.000 0.152 Eu
0.500 0.500 0.000 P
0.500 0.500 0.500 Ba
```


## ii
## BaEu2P (PBE)

Data for crystalline BaEu2P at its relaxed geometry.

Values from the calculation:
Magnetization   14.78 μB/f.u.
Space group   R-3m

Structure (POSCAR):
```
BaEu2P
1.0
4.233 0.000 0.000
2.116 3.666 0.000
2.116 1.222 11.317
Eu P Ba
2 1 1
direct
0.120 0.120 0.640 Eu
0.880 0.880 0.360 Eu
0.500 0.500 0.500 P
0.000 0.000 0.000 Ba
```


Which structure is the least stable? The one labeled i.


## i
## BaEuP (PBE)

Data for crystalline BaEuP at its relaxed geometry.

Values from the calculation:
Magnetization   7.71 μB/f.u.
Space group   I4mm

Structure (POSCAR):
```
BaEuP
1.0
3.879 0.000 0.000
0.000 3.879 0.000
-1.939 -1.939 7.103
Eu P Ba
1 1 1
direct
0.058 0.058 0.116 Eu
0.655 0.655 0.310 P
0.287 0.287 0.574 Ba
```


## ii
## BaEuP (PBE)

Data for crystalline BaEuP at its relaxed geometry.

Values from the calculation:
Magnetization   7.98 μB/f.u.
Space group   F-43m

Structure (POSCAR):
```
BaEuP
1.0
5.257 0.000 0.000
2.628 4.553 0.000
2.628 1.518 4.292
Eu P Ba
1 1 1
direct
0.500 0.500 0.500 Eu
0.250 0.250 0.250 P
0.000 0.000 0.000 Ba
```


## iii
## BaEuP (PBE)

Data for crystalline BaEuP at its relaxed geometry.

Values from the calculation:
Magnetization   7.56 μB/f.u.
Space group   P3m1

Structure (POSCAR):
```
BaEuP
1.0
-1.571 -3.696 2.871
4.648 -1.563 0.530
-1.880 3.269 3.179
Eu P Ba
1 1 1
direct
0.167 0.333 0.667 Eu
0.165 0.000 0.000 P
0.667 0.667 0.333 Ba
```


Which structure is the least stable? The one labeled i.